# 1
The following is a DFT calculation (PBE-GGA) of a geometry-optimized CsBrCl3 structure.

Unit cell a=14.2991 b=14.2991 c=14.2991 alpha=158.33 beta=158.33 gamma=30.84
Positions (direct):
1 Cs 0.0942 0.0942 0.0000
2 Cs 0.9058 0.9058 0.0000
3 Br 0.5000 0.5000 0.0000
4 Br 0.7500 0.2500 0.5000
5 Cl 0.0011 0.5011 0.5000
6 Cl 0.1155 0.3440 0.7714
7 Cl 0.4989 0.9989 0.5000
8 Cl 0.5726 0.3440 0.2286
9 Cl 0.6560 0.4274 0.7714
10 Cl 0.6560 0.8845 0.2286

Summary:
Raw formation energy: -0.612 eV/atom
Raw total energy: -2.226 eV per atom

# 2
The following is a DFT calculation (PBE-GGA) of a geometry-optimized CsBrCl3 structure.

Unit cell a=4.9526 b=8.6297 c=8.6297 alpha=33.95 beta=90.00 gamma=90.00
Positions (direct):
1 Cs 0.0000 0.0000 0.0000
2 Br 0.5000 0.3682 0.3682
3 Cl 0.0000 0.3432 0.3432
4 Cl 0.5000 0.3755 0.8704
5 Cl 0.5000 0.8704 0.3755

Summary:
Raw formation energy: -0.734 eV/atom
Raw total energy: -2.347 eV per atom

# 3
The following is a DFT calculation (PBE-GGA) of a geometry-optimized Cs3Br2Cl8 structure.

Unit cell a=11.4764 b=11.4764 c=11.4764 alpha=36.87 beta=36.87 gamma=36.87
Positions (direct):
1 Cs 0.0000 0.0000 0.0000
2 Cs 0.2017 0.2017 0.2017
3 Cs 0.7983 0.7983 0.7983
4 Br 0.3852 0.3852 0.3852
5 Br 0.6148 0.6148 0.6148
6 Cl 0.2081 0.7413 0.7413
7 Cl 0.2587 0.2587 0.7919
8 Cl 0.2587 0.7919 0.2587
9 Cl 0.3124 0.3124 0.3124
10 Cl 0.6876 0.6876 0.6876
11 Cl 0.7413 0.2081 0.7413
12 Cl 0.7413 0.7413 0.2081
13 Cl 0.7919 0.2587 0.2587

Summary:
Raw formation energy: -0.694 eV/atom
Raw total energy: -2.284 eV per atom

# 4
The following is a DFT calculation (PBE-GGA) of a geometry-optimized CsBrCl3 structure.

Unit cell a=4.9148 b=7.1507 c=7.1507 alpha=57.56 beta=90.00 gamma=90.00
Positions (direct):
1 Cs 0.0000 0.0000 0.0000
2 Br 0.5000 0.5818 0.5818
3 Cl 0.0000 0.1279 0.4201
4 Cl 0.0000 0.4201 0.1279
5 Cl 0.5000 0.8034 0.8034

Summary:
Raw formation energy: -0.570 eV/atom
Raw total energy: -2.183 eV per atom

What is the raw total energy in the first record?
-2.226 eV per atom

raw formation energy of number 2 (CsBrCl3)?
-0.734 eV/atom

Please write out number 2 again, unchanged.
The following is a DFT calculation (PBE-GGA) of a geometry-optimized CsBrCl3 structure.

Unit cell a=4.9526 b=8.6297 c=8.6297 alpha=33.95 beta=90.00 gamma=90.00
Positions (direct):
1 Cs 0.0000 0.0000 0.0000
2 Br 0.5000 0.3682 0.3682
3 Cl 0.0000 0.3432 0.3432
4 Cl 0.5000 0.3755 0.8704
5 Cl 0.5000 0.8704 0.3755

Summary:
Raw formation energy: -0.734 eV/atom
Raw total energy: -2.347 eV per atom